1.
DFT (PBE-GGA) results for CrOsAu2 after structural relaxation.

Lattice parameters (Å, degrees): 4.450 4.450 4.450 60.00 60.00 60.00
Fractional coordinates of all 4 atoms:
1 Cr 0.000 0.000 0.000
2 Os 0.500 0.500 0.500
3 Au 0.250 0.250 0.250
4 Au 0.750 0.750 0.750

The density of states at the Fermi level comes out at 1.39 states/eV per atom. As for the total energy: -6.07 eV per atom. The value obtained for the magnetization is 0.0 Bohr magnetons per cell. Its crystal system is cubic. The mass density is 16.949 g/cm3. The energy above the most stable polymorph in this dataset comes out at 55.5 kJ/mol of atoms.

***

2.
DFT (PBE-GGA) results for Sm4ScAs5 after structural relaxation.

Lattice parameters (Å, degrees): 14.944 14.944 14.944 163.97 163.97 22.74
Fractional coordinates of all 10 atoms:
1 Sm 0.098 0.098 0.000
2 Sm 0.302 0.302 0.000
3 Sm 0.698 0.698 0.000
4 Sm 0.902 0.902 0.000
5 Sc 0.500 0.500 0.000
6 As 0.000 0.000 0.000
7 As 0.200 0.200 0.000
8 As 0.405 0.405 0.000
9 As 0.595 0.595 0.000
10 As 0.800 0.800 0.000

The density of states at the Fermi level comes out at 0.11 states/eV per atom. As for the total energy: -6.31 eV per atom. The value obtained for the magnetization is 0.0 Bohr magnetons per cell. Its crystal system is tetragonal. The mass density is 6.666 g/cm3. The energy above the most stable polymorph in this dataset comes out at 0.4 kJ/mol of atoms.

***

3.
DFT (PBE-GGA) results for Pm2Cd3Ni after structural relaxation.

Lattice parameters (Å, degrees): 3.586 4.821 8.411 90.00 90.00 90.00
Fractional coordinates of all 6 atoms:
1 Pm 0.000 0.000 0.000
2 Pm 0.000 0.500 0.428
3 Cd 0.500 0.000 0.604
4 Cd 0.500 0.500 0.125
5 Cd 0.500 0.500 0.784
6 Ni 0.500 0.000 0.278

The density of states at the Fermi level comes out at 0.67 states/eV per atom. As for the total energy: -3.28 eV per atom. The value obtained for the magnetization is 0.0 Bohr magnetons per cell. Its crystal system is orthorhombic. The mass density is 7.834 g/cm3.

***

4.
DFT (PBE-GGA) results for ZnSb2Pb after structural relaxation.

Lattice parameters (Å, degrees): 5.570 5.570 5.570 127.21 127.21 77.90
Fractional coordinates of all 4 atoms:
1 Zn 0.000 0.000 0.000
2 Sb 0.500 0.500 0.000
3 Sb 0.750 0.250 0.500
4 Pb 0.250 0.750 0.500

The density of states at the Fermi level comes out at 0.41 states/eV per atom. The formation energy (no corrections) comes out at 0.198 eV/atom. As for the total energy: -3.11 eV per atom. The value obtained for the magnetization is 0.0 Bohr magnetons per cell. Its crystal system is tetragonal. The mass density is 8.069 g/cm3.

***

Repeat the first record exactly.
DFT (PBE-GGA) results for CrOsAu2 after structural relaxation.

Lattice parameters (Å, degrees): 4.450 4.450 4.450 60.00 60.00 60.00
Fractional coordinates of all 4 atoms:
1 Cr 0.000 0.000 0.000
2 Os 0.500 0.500 0.500
3 Au 0.250 0.250 0.250
4 Au 0.750 0.750 0.750

The density of states at the Fermi level comes out at 1.39 states/eV per atom. As for the total energy: -6.07 eV per atom. The value obtained for the magnetization is 0.0 Bohr magnetons per cell. Its crystal system is cubic. The mass density is 16.949 g/cm3. The energy above the most stable polymorph in this dataset comes out at 55.5 kJ/mol of atoms.

***

What did the fourth record say?
DFT (PBE-GGA) results for ZnSb2Pb after structural relaxation.

Lattice parameters (Å, degrees): 5.570 5.570 5.570 127.21 127.21 77.90
Fractional coordinates of all 4 atoms:
1 Zn 0.000 0.000 0.000
2 Sb 0.500 0.500 0.000
3 Sb 0.750 0.250 0.500
4 Pb 0.250 0.750 0.500

The density of states at the Fermi level comes out at 0.41 states/eV per atom. The formation energy (no corrections) comes out at 0.198 eV/atom. As for the total energy: -3.11 eV per atom. The value obtained for the magnetization is 0.0 Bohr magnetons per cell. Its crystal system is tetragonal. The mass density is 8.069 g/cm3.

***

- The highest mass density belongs to which entry?
  CrOsAu2